# 1
The following is a DFT calculation (PBE) of a relaxed structure of LiHoPa2P4.

Structure (POSCAR):
```
LiHoPa2P4
1.0
4.003 0.000 0.000
0.000 6.931 0.125
0.000 -2.416 6.260
P Ho Pa Li
4 1 2 1
Direct
0.500 0.253 0.253
0.000 0.248 0.742
0.500 0.747 0.747
0.000 0.752 0.258
0.000 0.000 0.000
0.500 0.000 0.500
0.000 0.500 0.500
0.500 0.500 0.000
```

space-group type: P2/m, No. 10
E_tot: -7.035 eV per atom
total moment: 0.000 μB per cell
energy of formation: -1144.6 meV per atom
V: 21.9 Å³ per atom

---

# 2
The following is a DFT calculation (PBE) of a relaxed structure of LiHo2PPb.

Structure (POSCAR):
```
LiHo2PPb
1.0
4.032 0.000 0.000
0.000 7.597 0.333
0.000 -2.830 7.779
Ho Li P Pb
4 2 2 2
Direct
0.250 0.235 0.983
0.750 0.765 0.017
0.250 0.122 0.387
0.750 0.878 0.613
0.250 0.548 0.645
0.750 0.452 0.355
0.250 0.854 0.827
0.750 0.146 0.173
0.250 0.681 0.294
0.750 0.319 0.706
```

space-group type: P2_1/m, No. 11
E_tot: -4.860 eV per atom
total moment: 0.000 μB per cell
energy of formation: -822.9 meV per atom
V: 24.2 Å³ per atom

---

# 3
The following is a DFT calculation (PBE) of a relaxed structure of Li2HoP2Pd2.

Structure (POSCAR):
```
Li2HoP2Pd2
1.0
4.119 0.000 0.000
2.060 3.567 0.000
2.060 1.189 7.547
Pd Ho Li P
2 1 2 2
Direct
0.576 0.576 0.272
0.424 0.424 0.728
0.000 0.000 0.000
0.858 0.858 0.426
0.142 0.142 0.574
0.255 0.255 0.236
0.745 0.745 0.764
```

space-group type: R-3m, No. 166
E_tot: -5.184 eV per atom
total moment: 0.000 μB per cell
energy of formation: -953.7 meV per atom
V: 15.8 Å³ per atom